First-principles (PBE) data for a geometry-optimized TiTlAu structure, as listed in Alexandria via LeMat-Bulk.

a b c (Å): 4.8410 4.8410 5.7961
angles (deg): 90.00 90.00 120.00
Last column: nearest neighbours and their distance in Å.
Positions (direct):
Ti (0.3333, 0.6667, 0.2500)  5 Tl 2.79-2.90
Ti (0.6667, 0.3333, 0.7500)  5 Tl 2.79-2.90
Tl (0.3333, 0.6667, 0.7500)  5 Ti 2.79-2.90
Tl (0.6667, 0.3333, 0.2500)  5 Ti 2.79-2.90
Au (0.0000, 0.0000, 0.0000)  2 Au 2.90, 6 Tl 3.15, 6 Ti 3.15
Au (0.0000, 0.0000, 0.5000)  2 Au 2.90, 6 Tl 3.15, 6 Ti 3.15

Summary:
ΔH_f (0 K) = 0.37 eV/f.u.
total magnetic moment = 0.00 Bohr magnetons per cell
E_tot = -26.34 eV per cell